# 1
The following is a DFT calculation (PBE) of a relaxed NaZrNiPb2 crystal.

The value obtained for the uncorrected energy is -3.404 eV per atom. As for the formation energy from the elements: 116.7 kJ/mol of atoms. As for the size of the total moment: 0.8 μB/cell. Its crystal system is tetragonal.

The space group is P4/mmm (No. 123) and the conventional cell measures 5.573, 5.573 and 5.736 Å, with angles of 90.00, 90.00 and 90.00 degrees. Symmetry generates all atoms from Na at (0.000, 0.000, 0.000), Zr at (0.000, 0.000, 0.500), Ni at (0.500, 0.500, 0.000) and Pb at (0.000, 0.500, 0.500).

=====

# 2
The following is a DFT calculation (PBE) of a relaxed LaTcOs2 crystal.

For the excess energy over the best structure of this formula in the dataset, the calculation gives 115 meV/atom. The value obtained for the uncorrected energy is -9.030 eV per atom. As for the formation energy from the elements: 39.4 kJ/mol of atoms. As for the size of the total moment: 0.0 μB/cell. Its crystal system is tetragonal.

The space group is P4mm (No. 99) and the conventional cell measures 2.901, 2.901 and 8.451 Å, with angles of 90.00, 90.00 and 90.00 degrees. Symmetry generates all atoms from La at (0.000, 0.000, 0.000), Tc at (0.500, 0.500, 0.703), Os at (0.000, 0.000, 0.494) and Os at (0.500, 0.500, 0.295).

=====

# 3
The following is a DFT calculation (PBE) of a relaxed LaAlSb3 crystal.

For the excess energy over the best structure of this formula in the dataset, the calculation gives 737 meV/atom. The value obtained for the uncorrected energy is -3.571 eV per atom. For the formation energy (no corrections), the calculation gives 637 meV per atom. As for the size of the total moment: 0.0 μB/cell. Its crystal system is cubic.

The space group is Pm-3m (No. 221) and the conventional cell measures 6.040, 6.040 and 6.040 Å, with angles of 90.00, 90.00 and 90.00 degrees. Symmetry generates all atoms from La at (0.000, 0.000, 0.000), Al at (0.500, 0.500, 0.500) and Sb at (0.000, 0.000, 0.500).